[1]
The following is a DFT calculation (PBE) of an optimized crystal structure of Cs4Ce3USe8.

The calculation puts the raw total energy at -5.311 eV/atom. For the raw formation energy, the calculation gives -1537 meV/atom. Its total moment is 0.119 μB/atom.

abc: 8.838 9.805 8.842
angles: 116.78 119.98 90.00
Each line ends with the local moment (μB).
Atoms (fractional coordinates):
Cs  0.500  0.000  0.000  0.00
Cs  0.500  0.000  0.500  0.00
Cs  0.000  0.000  0.000  0.00
Cs  0.000  0.000  0.500  0.00
Ce  0.500  0.500  0.000  0.99
Ce  0.500  0.500  0.500  -0.94
Ce  0.000  0.500  0.500  -0.94
U  0.000  0.500  0.000  2.65
Se  0.227  0.688  0.962  -0.02
Se  0.227  0.688  0.453  -0.01
Se  0.270  0.310  0.540  0.01
Se  0.735  0.688  0.962  -0.02
Se  0.265  0.312  0.038  -0.02
Se  0.730  0.690  0.460  0.01
Se  0.773  0.312  0.547  -0.01
Se  0.773  0.312  0.038  -0.02

***

[2]
The following is a DFT calculation (PBE) of an optimized crystal structure of Cs4Ce3YSe8.

The calculation puts the raw total energy at -5.152 eV/atom. For the raw formation energy, the calculation gives -1680 meV/atom. Its total moment is 0.188 μB/atom.

abc: 8.797 9.793 8.799
angles: 116.72 119.99 90.00
Each line ends with the local moment (μB).
Atoms (fractional coordinates):
Cs  0.500  0.000  0.000  0.00
Cs  0.500  0.000  0.500  0.00
Cs  0.000  0.000  0.000  0.00
Cs  0.000  0.000  0.500  0.00
Ce  0.500  0.500  0.000  0.96
Ce  0.500  0.500  0.500  0.96
Ce  0.000  0.500  0.500  0.96
Y  0.000  0.500  0.000  0.01
Se  0.226  0.687  0.962  -0.01
Se  0.226  0.687  0.451  -0.01
Se  0.270  0.310  0.540  -0.02
Se  0.736  0.687  0.962  -0.01
Se  0.264  0.313  0.038  -0.01
Se  0.730  0.690  0.460  -0.02
Se  0.774  0.313  0.549  -0.01
Se  0.774  0.313  0.038  -0.01

***

[3]
The following is a DFT calculation (PBE) of an optimized crystal structure of Cs3CeY3Se8.

The calculation puts the raw total energy at -5.453 eV/atom. For the raw formation energy, the calculation gives -1735 meV/atom. Its total moment is 0.000 μB/atom.

abc: 8.454 8.456 9.830
angles: 115.52 90.00 119.99
Atoms (fractional coordinates):
Cs  0.000  0.000  0.000
Cs  0.000  0.500  0.000
Cs  0.500  0.500  0.000
Ce  0.000  0.000  0.500
Y  0.500  0.000  0.500
Y  0.500  0.500  0.500
Y  0.000  0.500  0.500
Se  0.272  0.544  0.316
Se  0.728  0.456  0.684
Se  0.773  0.546  0.317
Se  0.227  0.454  0.683
Se  0.773  0.044  0.317
Se  0.227  0.956  0.683
Se  0.271  0.044  0.317
Se  0.729  0.956  0.683

***

[4]
The following is a DFT calculation (PBE) of an optimized crystal structure of Cs2CeZn2Se4.

The calculation puts the raw total energy at -3.770 eV/atom. For the raw formation energy, the calculation gives -1089 meV/atom. Its total moment is 0.146 μB/atom.

abc: 4.499 8.458 8.289
angles: 107.94 105.75 90.00
Each line ends with the local moment (μB).
Atoms (fractional coordinates):
Cs  0.134  0.560  0.268  0.00
Cs  0.866  0.440  0.732  0.00
Ce  0.000  0.000  0.000  1.14
Zn  0.672  0.991  0.343  0.01
Zn  0.328  0.009  0.657  0.01
Se  0.202  0.149  0.404  0.00
Se  0.798  0.851  0.596  0.00
Se  0.522  0.772  0.043  -0.01
Se  0.478  0.228  0.957  -0.01

***

[5]
The following is a DFT calculation (PBE) of an optimized crystal structure of Cs4Ce3ZrSe8.

The calculation puts the raw total energy at -5.154 eV/atom. For the raw formation energy, the calculation gives -1552 meV/atom. Its total moment is 0.250 μB/atom.

abc: 8.630 9.766 8.631
angles: 116.25 120.00 90.00
Each line ends with the local moment (μB).
Atoms (fractional coordinates):
Cs  0.500  0.000  0.000  0.01
Cs  0.500  0.000  0.500  0.00
Cs  0.000  0.000  0.000  0.00
Cs  0.000  0.000  0.500  0.00
Ce  0.500  0.500  0.000  0.97
Ce  0.500  0.500  0.500  0.97
Ce  0.000  0.500  0.500  0.97
Zr  0.000  0.500  0.000  0.49
Se  0.220  0.685  0.966  -0.02
Se  0.220  0.686  0.440  -0.02
Se  0.269  0.307  0.538  -0.02
Se  0.746  0.685  0.966  -0.02
Se  0.254  0.315  0.034  -0.02
Se  0.731  0.693  0.462  -0.02
Se  0.780  0.314  0.560  -0.02
Se  0.780  0.315  0.034  -0.02

***

[6]
The following is a DFT calculation (PBE) of an optimized crystal structure of Cs3Ce3ZrSe8.

The calculation puts the raw total energy at -5.393 eV/atom. For the raw formation energy, the calculation gives -1607 meV/atom. Its total moment is 0.202 μB/atom.

abc: 8.554 8.555 9.870
angles: 115.69 90.00 119.99
Each line ends with the local moment (μB).
Atoms (fractional coordinates):
Cs  0.000  0.000  0.000  0.00
Cs  0.000  0.500  0.000  0.00
Cs  0.500  0.500  0.000  0.00
Ce  0.500  0.000  0.500  0.90
Ce  0.500  0.500  0.500  0.90
Ce  0.000  0.500  0.500  0.90
Zr  0.000  0.000  0.500  0.16
Se  0.270  0.540  0.309  -0.02
Se  0.730  0.460  0.691  -0.02
Se  0.785  0.569  0.321  -0.02
Se  0.215  0.431  0.679  -0.02
Se  0.784  0.036  0.320  -0.02
Se  0.216  0.964  0.680  -0.02
Se  0.252  0.036  0.320  -0.02
Se  0.748  0.964  0.680  -0.02